# ErGaPt, optimized geometry, DFT PBE
# N(E_F) ... 14.42 states/eV per cell
# Calculated density ... 10.7 g/cm3
# ΔE_f ... -0.910 eV/atom
data_ErGaPt
_chemical_formula_sum 'Er4 Ga4 Pt4'
_cell_length_a 6.4439
_cell_length_b 6.4439
_cell_length_c 6.4439
_cell_angle_alpha 90.00
_cell_angle_beta 90.00
_cell_angle_gamma 90.00
_space_group_name_H-M_alt 'F -4 3 m'
_space_group_IT_number 216
_space_group_name_Hall 'F -4 2 3'
loop_
_atom_site_label
_atom_site_fract_x
_atom_site_fract_y
_atom_site_fract_z
Er1 0.0000 0.0000 0.0000
Ga1 0.0000 0.0000 0.5000
Pt1 0.2500 0.2500 0.7500



# ErGa3Pt3, optimized geometry, DFT PBE
# Excess energy over the best structure of this formula in the dataset ... 0.0 meV/atom
# N(E_F) ... 13.43 states/eV per cell
# Calculated density ... 12.8 g/cm3
# ΔE_f ... -0.827 eV/atom
data_ErGa3Pt3
_chemical_formula_sum 'Er6 Ga18 Pt18'
_cell_length_a 6.8614
_cell_length_b 6.8614
_cell_length_c 18.2912
_cell_angle_alpha 90.00
_cell_angle_beta 90.00
_cell_angle_gamma 120.00
_space_group_name_H-M_alt 'R -3'
_space_group_IT_number 148
_space_group_name_Hall '-R 3'
loop_
_atom_site_label
_atom_site_fract_x
_atom_site_fract_y
_atom_site_fract_z
Er1 0.0000 0.0000 0.1607
Ga1 0.0255 0.6101 0.3774
Pt1 0.0093 0.7607 0.5701



# ErGa2Pt3, optimized geometry, DFT PBE
# N(E_F) ... 14.97 states/eV per cell
# Calculated density ... 13.8 g/cm3
# ΔE_f ... -0.897 eV/atom
data_ErGa2Pt3
_chemical_formula_sum 'Er6 Ga12 Pt18'
_cell_length_a 16.8434
_cell_length_b 4.0314
_cell_length_c 9.8965
_cell_angle_alpha 90.00
_cell_angle_beta 106.83
_cell_angle_gamma 90.00
_space_group_name_H-M_alt 'C 1 2/m 1'
_space_group_IT_number 12
loop_
_space_group_symop_operation_xyz
'x,y,z'
'-x,-y,-z'
'-x,y,-z'
'x,-y,z'
'x+1/2,y+1/2,z'
'-x+1/2,-y+1/2,-z'
'-x+1/2,y+1/2,-z'
'x+1/2,-y+1/2,z'
loop_
_atom_site_label
_atom_site_fract_x
_atom_site_fract_y
_atom_site_fract_z
Er1 0.0000 0.0000 0.0000
Er2 0.1656 0.0000 0.7104
Ga1 0.0411 0.5000 0.7803
Ga2 0.1381 0.5000 0.4544
Ga3 0.1913 0.0000 0.1233
Pt1 0.0000 0.5000 0.5000
Pt2 0.0399 0.0000 0.3308
Pt3 0.1114 0.5000 0.1859
Pt4 0.1783 0.5000 0.9499
Pt5 0.2190 0.0000 0.3897



# ErGa6Pt3, optimized geometry, DFT PBE
# N(E_F) ... 5.50 states/eV per cell
# Calculated density ... 10.8 g/cm3
# ΔE_f ... -0.619 eV/atom
data_ErGa6Pt3
_chemical_formula_sum 'Er2 Ga12 Pt6'
_cell_length_a 8.1137
_cell_length_b 4.1251
_cell_length_c 10.8583
_cell_angle_alpha 90.00
_cell_angle_beta 96.14
_cell_angle_gamma 90.00
_space_group_name_H-M_alt 'P 1 21/m 1'
_space_group_IT_number 11
loop_
_space_group_symop_operation_xyz
'x,y,z'
'-x,-y,-z'
'-x,y+1/2,-z'
'x,-y+1/2,z'
loop_
_atom_site_label
_atom_site_fract_x
_atom_site_fract_y
_atom_site_fract_z
Er1 0.0029 0.2500 0.2251
Ga1 0.0534 0.7500 0.4291
Ga2 0.1974 0.2500 0.9379
Ga3 0.2570 0.2500 0.6919
Ga4 0.3535 0.2500 0.2352
Ga5 0.4118 0.7500 0.5566
Ga6 0.4442 0.7500 0.0861
Pt1 0.1266 0.7500 0.0613
Pt2 0.2567 0.2500 0.4531
Pt3 0.3601 0.7500 0.8405